First-principles (GGA-PBE) data for GaI after structural relaxation, as listed in Alexandria via LeMat-Bulk.

VASP energy: -41.4 eV/cell
Spin magnetization: 0.0 μB/f.u.
Formation energy without anion corrections: -0.59 eV/f.u.

CIF file:
```
data_GaI
_chemical_formula_sum 'Ga8 I8'
_cell_length_a 12.202
_cell_length_b 12.202
_cell_length_c 4.372
_cell_angle_alpha 90.00
_cell_angle_beta 90.00
_cell_angle_gamma 90.00
_symmetry_space_group_name_H-M 'I 4/m'
_symmetry_Int_Tables_number 87
_symmetry_space_group_name_Hall '-I 4'
loop_
_atom_site_label
_atom_site_type_symbol
_atom_site_fract_x
_atom_site_fract_y
_atom_site_fract_z
Ga1 Ga 0.168 0.258 0.000
I1 I 0.000 0.269 0.500
```